1.
Material: MgTa
Method: DFT, PBE
State: optimized geometry

Lattice parameters (Å, degrees): 5.213 4.881 5.928 90.00 90.00 90.00
Fractional positions:
Mg  0.086  0.250  0.127
Mg  0.414  0.750  0.627
Mg  0.586  0.250  0.373
Mg  0.914  0.750  0.873
Ta  0.087  0.250  0.626
Ta  0.413  0.750  0.126
Ta  0.587  0.250  0.874
Ta  0.913  0.750  0.374

Results
Electronic total energy = -50.563 eV per cell
Crystal system = orthorhombic
Total magnetization = 0.00 μB/f.u.
Symmetry = Pnma
V = 18.9 Å³/atom



2.
Material: MgTa
Method: DFT, PBE
State: optimized geometry

Lattice parameters (Å, degrees): 5.404 5.404 5.620 90.00 90.00 90.00
Fractional positions:
Mg  0.178  0.178  0.000
Mg  0.322  0.678  0.500
Mg  0.678  0.322  0.500
Mg  0.822  0.822  0.000
Ta  0.170  0.170  0.500
Ta  0.330  0.670  0.000
Ta  0.670  0.330  0.000
Ta  0.830  0.830  0.500

Results
Electronic total energy = -45.308 eV per cell
Crystal system = tetragonal
Total magnetization = 0.00 μB/f.u.
Symmetry = P4_2/mnm
V = 20.5 Å³/atom



3.
Material: MgTa5
Method: DFT, PBE
State: optimized geometry

Lattice parameters (Å, degrees): 4.960 8.321 8.321 19.09 90.00 90.00
Fractional positions:
Mg  0.000  0.000  0.000
Ta  0.000  0.331  0.331
Ta  0.000  0.666  0.666
Ta  0.500  0.239  0.239
Ta  0.500  0.573  0.573
Ta  0.500  0.904  0.904

Results
ΔE to the lowest computed polymorph = 0.077 eV/atom
Crystal system = orthorhombic
Total magnetization = 0.00 μB/f.u.
Symmetry = Amm2
V = 18.7 Å³/atom



4.
Material: Mg2Ta3
Method: DFT, PBE
State: optimized geometry

Lattice parameters (Å, degrees): 4.523 4.523 5.626 90.00 90.00 120.00
Fractional positions:
Mg  0.333  0.667  0.351
Mg  0.667  0.333  0.649
Ta  0.000  0.000  0.500
Ta  0.333  0.667  0.862
Ta  0.667  0.333  0.138

Results
ΔE to the lowest computed polymorph = 0.748 eV/atom
Crystal system = trigonal
Total magnetization = 0.00 μB/f.u.
Symmetry = P-3m1
V = 19.9 Å³/atom



5.
Material: Mg2Ta
Method: DFT, PBE
State: optimized geometry

Lattice parameters (Å, degrees): 6.781 6.781 6.781 90.00 90.00 90.00
Fractional positions:
Mg  0.132  0.132  0.132
Mg  0.132  0.368  0.632
Mg  0.368  0.632  0.132
Mg  0.368  0.868  0.632
Mg  0.632  0.132  0.368
Mg  0.632  0.368  0.868
Mg  0.868  0.632  0.368
Mg  0.868  0.868  0.868
Ta  0.000  0.000  0.500
Ta  0.000  0.500  0.000
Ta  0.500  0.000  0.000
Ta  0.500  0.500  0.500

Results
ΔE to the lowest computed polymorph = 1.372 eV/atom
Crystal system = cubic
Total magnetization = 0.00 μB/f.u.
Symmetry = Pa-3
V = 26.0 Å³/atom



6.
Material: MgTa5
Method: DFT, PBE
State: optimized geometry

Lattice parameters (Å, degrees): 5.845 5.845 7.347 102.08 102.08 27.26
Fractional positions:
Mg  0.000  0.000  0.000
Ta  0.260  0.260  0.025
Ta  0.334  0.334  0.672
Ta  0.595  0.595  0.686
Ta  0.671  0.671  0.338
Ta  0.928  0.928  0.360

Results
ΔE to the lowest computed polymorph = 0.075 eV/atom
Crystal system = monoclinic
Total magnetization = 0.00 μB/f.u.
Symmetry = Cm
V = 18.7 Å³/atom